# ZrRe2SnC

ZrRe2SnC at its PBEsol-relaxed geometry (meta-GGA SCAN, the Alexandria database).

```
data_ZrRe2SnC
_space_group_name_H-M_alt 'P 4/m m m'
_space_group_IT_number 123
_space_group_name_Hall '-P 4 2'
_cell_length_a 4.9551
_cell_length_b 4.9551
_cell_length_c 3.9255
_cell_angle_alpha 90.00
_cell_angle_beta 90.00
_cell_angle_gamma 90.00
loop_
_atom_site_label
_atom_site_fract_x
_atom_site_fract_y
_atom_site_fract_z
_atom_site_occupancy
Zr1 0.0000 0.0000 0.0000 1
Re1 0.0000 0.5000 0.5000 1
Sn1 0.5000 0.5000 0.5000 1
C1 0.5000 0.5000 0.0000 1
```

Output
For the formation energy, the calculation gives 12.217 eV/f.u. The total magnetization comes out at 1.040 μB/cell.